! InTcAuSe2S (PBE, relaxed); values from VASP
&SYSTEM
  ibrav = 0, nat = 12, ntyp = 5
/
ATOMIC_SPECIES
Au 196.97 Au.upf
In 114.82 In.upf
S 32.06 S.upf
Se 78.96 Se.upf
Tc 98.00 Tc.upf
CELL_PARAMETERS angstrom
1.6902 -8.4129 0.0000
1.6902 8.4129 0.0000
0.0000 0.0000 9.3560
ATOMIC_POSITIONS crystal
Au 0.2066 0.7934 0.2500
Au 0.7934 0.2066 0.7500
In 0.8370 0.1630 0.2500
In 0.1630 0.8370 0.7500
S 0.4642 0.5358 0.2500
S 0.5358 0.4642 0.7500
Se 0.1101 0.8899 0.0341
Se 0.1101 0.8899 0.4659
Se 0.8899 0.1101 0.5341
Se 0.8899 0.1101 0.9659
Tc 0.5000 0.5000 0.0000
Tc 0.5000 0.5000 0.5000
! Raw total energy ... -0.351 Ry per atom
! Theoretical density ... 7.49 Mg/m³
! Crystal system ... orthorhombic